No. 1
Here is a geometry-optimized CsZrI2O8 structure from the Alexandria database. Energies are from PBE-GGA.

```
CsZrI2O8
1.0
-3.8566 4.2853 -1.0973
-2.1669 0.4972 -6.1363
-7.1710 -3.0295 -2.3217
O I Zr Cs
8 2 1 1
Direct
0.1429 0.0423 0.1875
0.3727 0.9577 0.8125
0.8571 0.9577 0.8125
0.0972 0.6141 0.1915
0.3232 0.4539 0.8997
0.6768 0.5461 0.1003
0.6273 0.0423 0.1875
0.9028 0.3859 0.8085
0.7181 0.7264 0.8374
0.2819 0.2736 0.1626
0.0000 0.0000 0.0000
0.5000 0.5000 0.5000
```

## Properties
Magnetic moment, μB/f.u.: 0.83
E_tot, eV per formula unit: -65.5
Formation energy from raw total energies, kcal/mol of atoms: -25.5

No. 2
Here is a geometry-optimized BaRe3Se structure from the Alexandria database. Energies are from PBE-GGA.

```
BaRe3Se
1.0
5.0770 0.0000 0.0000
0.0000 5.0770 0.0000
0.0000 0.0000 5.0770
Re Ba Se
3 1 1
Direct
0.0000 0.5000 0.0000
0.5000 0.0000 0.0000
0.0000 0.0000 0.5000
0.0000 0.0000 0.0000
0.5000 0.5000 0.5000
```

## Properties
Magnetic moment, μB/f.u.: 5.00
E_tot, eV per formula unit: -22.6
Formation energy from raw total energies, kcal/mol of atoms: 93.2

No. 3
Here is a geometry-optimized HgTeRu2 structure from the Alexandria database. Energies are from PBE-GGA.

```
HgTeRu2
1.0
4.6125 0.0143 0.0000
-0.0160 4.6125 0.0000
0.0000 0.0000 3.2917
Ru Te Hg
2 1 1
Direct
0.0000 0.0000 0.0000
0.5000 0.5000 0.0000
0.5000 0.0000 0.5000
0.0000 0.5000 0.5000
```

## Properties
Magnetic moment, μB/f.u.: 0.00
E_tot, eV per formula unit: -20.0
Formation energy from raw total energies, kcal/mol of atoms: 11.4

No. 4
Here is a geometry-optimized Ti6CoRh structure from the Alexandria database. Energies are from PBE-GGA.

```
Ti6CoRh
1.0
5.6082 -0.4869 -0.4775
-2.5384 5.0245 -0.4775
-1.0210 -1.5092 5.2367
Ti Co Rh
6 1 1
Direct
0.5236 0.9445 0.7448
0.9445 0.5236 0.7448
0.0555 0.4764 0.2552
0.7392 0.7392 0.2665
0.4764 0.0555 0.2552
0.2609 0.2609 0.7335
0.5000 0.5000 0.5000
0.0000 0.0000 0.0000
```

## Properties
Magnetic moment, μB/f.u.: 0.00
E_tot, eV per formula unit: -61.4

No. 5
Here is a geometry-optimized RbLaP2Ir structure from the Alexandria database. Energies are from PBE-GGA.

```
RbLaP2Ir
1.0
-4.0808 3.8243 -0.9184
-1.5709 -0.4696 5.0245
3.5541 4.1525 1.4993
P La Ir Rb
2 1 1 1
Direct
0.5000 0.0000 0.0000
0.0000 0.0000 0.5000
0.0000 0.0000 0.0000
0.0000 0.5000 0.0000
0.5000 0.5000 0.5000
```

## Properties
Magnetic moment, μB/f.u.: 1.92
E_tot, eV per formula unit: -21.9

No. 6
Here is a geometry-optimized SrCuSb structure from the Alexandria database. Energies are from PBE-GGA.

```
SrCuSb
1.0
-3.3840 1.9144 -3.3009
0.1921 -5.0291 0.8265
-8.6830 1.2505 9.6269
Sr Sb Cu
2 2 2
Direct
0.0000 0.0000 0.7500
0.0000 0.0000 0.2500
0.0000 0.0000 0.5000
0.0000 0.0000 0.0000
0.3333 0.6667 0.2500
0.6667 0.3333 0.7500
```

## Properties
Magnetic moment, μB/f.u.: 1.59
E_tot, eV per formula unit: -7.3
Formation energy from raw total energies, kcal/mol of atoms: 19.7

No. 7
Here is a geometry-optimized Ca3Nd2DySe6 structure from the Alexandria database. Energies are from PBE-GGA.

```
Ca3Nd2DySe6
1.0
-5.9104 3.2174 2.5849
-0.4830 -4.3380 -5.7372
1.0210 -5.0331 5.2353
Se Ca Dy Nd
6 3 1 2
Direct
0.9161 0.5908 0.7476
0.5908 0.9161 0.7476
0.7598 0.7598 0.2534
0.4092 0.0839 0.2524
0.2402 0.2402 0.7466
0.0839 0.4092 0.2524
0.1689 0.8311 0.5000
0.5000 0.5000 0.5000
0.8311 0.1689 0.5000
0.0000 0.0000 0.0000
0.3341 0.6659 0.0000
0.6659 0.3341 0.0000
```

## Properties
Magnetic moment, μB/f.u.: 0.00
E_tot, eV per formula unit: -63.8
Formation energy from raw total energies, kcal/mol of atoms: -43.7

No. 8
Here is a geometry-optimized BaHg4Au3 structure from the Alexandria database. Energies are from PBE-GGA.

```
BaHg4Au3
1.0
-0.4138 -2.3737 -3.9430
4.5082 0.5878 -0.8269
2.0147 -8.5274 4.9220
Au Ba Hg
3 1 4
Direct
0.0000 0.0000 0.0000
0.5000 0.5000 0.6350
0.5000 0.5000 0.3650
0.0000 0.0000 0.5000
0.0000 0.5000 0.8184
0.0000 0.5000 0.1816
0.5000 0.0000 0.1816
0.5000 0.0000 0.8184
```

## Properties
Magnetic moment, μB/f.u.: 0.00
E_tot, eV per formula unit: -15.2